Material: Tc2PbAu
Method: DFT, PBE-GGA
State: optimized geometry Values from VASP.

## Properties
* DFT formation energy: 0.6450 eV per atom

The structure in Quantum ESPRESSO input format:
```
&SYSTEM
  ibrav = 0, nat = 4, ntyp = 3
/
ATOMIC_SPECIES
Au 196.97 Au.upf
Pb 207.20 Pb.upf
Tc 98.00 Tc.upf
ATOMIC_POSITIONS angstrom
Au 1.330 -2.284 1.469
Pb 2.376 -1.869 4.272
Tc 0.133 0.053 0.356
Tc 0.913 0.362 2.447
CELL_PARAMETERS angstrom
-1.649 -2.270 0.951
3.264 -2.712 -0.816
2.091 0.830 5.606
```